An optimized crystal structure of InSi2, computed with PBE-GGA.

## Properties
Size of the total moment ... 0.000 μB/atom
Formation energy (no corrections) ... 0.32 eV/atom
Volume ... 20.622 Å³ per atom
Uncorrected energy ... -4.2038 eV/atom
SG ... I4_1/amd, No. 141
Energy above the lowest structure with this stoichiometry ... 8.7 kJ per mole of atoms
Mass density ... 4.59 g/cm3

Cell lengths 6.228, 6.228, 6.228 Å; angles 133.80, 133.80, 67.39 degrees
Sites, in units of the cell vectors:
Si: 0.385 0.385 0.000
Si: 0.135 0.635 0.500
Si: 0.615 0.615 0.000
Si: 0.365 0.865 0.500
In: 0.000 0.000 0.000
In: 0.750 0.250 0.500

---

An optimized crystal structure of Pr5YTm2, computed with PBE-GGA.

## Properties
Size of the total moment ... 0.056 μB/atom
Volume ... 34.563 Å³ per atom
Uncorrected energy ... -4.7946 eV/atom
SG ... I4/mcm, No. 140
Mass density ... 6.79 g/cm3
Energy of formation from the pure elements ... 0.118 eV/atom

Cell lengths 9.320, 9.320, 9.163 Å; angles 120.57, 120.57, 90.00 degrees
Sites, in units of the cell vectors:
Pr: 0.500 0.500 0.000
Pr: 0.000 0.000 0.000
Pr: 0.687 0.187 0.673
Pr: 0.986 0.486 0.673
Pr: 0.313 0.813 0.327
Pr: 0.014 0.514 0.327
Pr: 0.486 0.687 0.673
Pr: 0.187 0.986 0.673
Pr: 0.813 0.014 0.327
Pr: 0.514 0.313 0.327
Tm: 0.646 0.146 0.000
Tm: 0.354 0.854 0.000
Tm: 0.854 0.646 0.000
Tm: 0.146 0.354 0.000
Y: 0.750 0.750 0.500
Y: 0.250 0.250 0.500

---

An optimized crystal structure of Ce4SnPb2, computed with PBE-GGA.

## Properties
Size of the total moment ... 0.385 μB/atom
Volume ... 29.732 Å³ per atom
Uncorrected energy ... -4.8787 eV/atom
SG ... Cmmm, No. 65
Mass density ... 8.73 g/cm3
Energy of formation from the pure elements ... 0.143 eV/atom

Cell lengths 4.494, 4.178, 11.279 Å; angles 100.67, 90.00, 90.00 degrees
Sites, in units of the cell vectors:
Ce: 0.000 0.359 0.719
Ce: 0.000 0.641 0.281
Ce: 0.500 0.713 0.426
Ce: 0.500 0.287 0.574
Sn: 0.000 0.500 0.000
Pb: 0.500 0.918 0.837
Pb: 0.500 0.082 0.163

---

An optimized crystal structure of Nb2Tc2Ag, computed with PBE-GGA.

## Properties
Size of the total moment ... 0.000 μB/atom
Volume ... 17.387 Å³ per atom
Uncorrected energy ... -8.5467 eV/atom
SG ... P4/mbm, No. 127
Mass density ... 9.35 g/cm3
Energy of formation from the pure elements ... 0.198 eV/atom

Cell lengths 7.442, 7.442, 3.139 Å; angles 90.00, 90.00, 90.00 degrees
Sites, in units of the cell vectors:
Nb: 0.844 0.344 0.500
Nb: 0.344 0.156 0.500
Nb: 0.156 0.656 0.500
Nb: 0.656 0.844 0.500
Tc: 0.860 0.640 0.000
Tc: 0.640 0.140 0.000
Tc: 0.140 0.360 0.000
Tc: 0.360 0.860 0.000
Ag: 0.500 0.500 0.000
Ag: 0.000 0.000 0.000

---

An optimized crystal structure of Nb2TlCrCd, computed with PBE-GGA.

## Properties
Size of the total moment ... 0.000 μB/atom
Volume ... 21.889 Å³ per atom
Uncorrected energy ... -5.7260 eV/atom
SG ... P4/mmm, No. 123
Mass density ... 8.41 g/cm3
Energy of formation from the pure elements ... 0.883 eV/atom

Cell lengths 4.614, 5.140, 4.614 Å; angles 90.00, 90.00, 90.00 degrees
Sites, in units of the cell vectors:
Nb: 0.500 0.000 0.000
Nb: 0.000 0.000 0.500
Cr: 0.000 0.000 0.000
Cd: 0.500 0.500 0.500
Tl: 0.000 0.500 0.000

---

An optimized crystal structure of Cs3KNi2Br8, computed with PBE-GGA.

## Properties
Size of the total moment ... 0.286 μB/atom
Formation energy (no corrections) ... -1.12 eV/atom
Volume ... 40.373 Å³ per atom
Uncorrected energy ... -3.1597 eV/atom
SG ... P-3m1, No. 164
Mass density ... 3.51 g/cm3

Cell lengths 7.935, 7.935, 10.366 Å; angles 90.00, 90.00, 120.00 degrees
Sites, in units of the cell vectors:
Ni: 0.667 0.333 0.802
Ni: 0.333 0.667 0.198
Br: 0.178 0.822 0.305
Br: 0.667 0.333 0.027
Br: 0.333 0.667 0.973
Br: 0.178 0.356 0.305
Br: 0.822 0.178 0.695
Br: 0.356 0.178 0.695
Br: 0.822 0.644 0.695
Br: 0.644 0.822 0.305
K: 0.000 0.000 0.500
Cs: 0.333 0.667 0.628
Cs: 0.667 0.333 0.372
Cs: 0.000 0.000 0.000

---

An optimized crystal structure of Ac6Si2RuI3, computed with PBE-GGA.

## Properties
Size of the total moment ... 0.000 μB/atom
Formation energy (no corrections) ... -0.82 eV/atom
Volume ... 37.165 Å³ per atom
Uncorrected energy ... -4.9428 eV/atom
SG ... C2/m, No. 12
Mass density ... 7.07 g/cm3

Cell lengths 7.901, 7.901, 8.641 Å; angles 98.82, 98.82, 119.74 degrees
Sites, in units of the cell vectors:
Ac: 0.620 0.936 0.809
Ac: 0.748 0.748 0.194
Ac: 0.936 0.620 0.809
Ac: 0.380 0.064 0.191
Ac: 0.252 0.252 0.806
Ac: 0.064 0.380 0.191
I: 0.500 0.500 0.500
I: 0.173 0.827 0.500
I: 0.827 0.173 0.500
Ru: 0.000 0.000 0.000
Si: 0.334 0.666 0.000
Si: 0.666 0.334 0.000

---

An optimized crystal structure of KBiSb3, computed with PBE-GGA.

## Properties
Size of the total moment ... 0.000 μB/atom
Formation energy (no corrections) ... 0.45 eV/atom
Volume ... 42.761 Å³ per atom
Uncorrected energy ... -3.0205 eV/atom
SG ... Pm-3m, No. 221
Energy above the lowest structure with this stoichiometry ... 0.0 kJ per mole of atoms
Mass density ... 4.76 g/cm3

Cell lengths 5.980, 5.980, 5.980 Å; angles 90.00, 90.00, 90.00 degrees
Sites, in units of the cell vectors:
Sb: 0.000 0.500 0.000
Sb: 0.000 0.000 0.500
Sb: 0.500 0.000 0.000
K: 0.500 0.500 0.500
Bi: 0.000 0.000 0.000

---

> Which value of volume does entry 4 give?

17.387 Å³ per atom